[1]
# FeSnI3 PBE-GGA optimized geometry
data_FeSnI3
_chemical_formula_sum 'Fe1 Sn1 I3'
_cell_length_a 5.444
_cell_length_b 5.444
_cell_length_c 5.444
_cell_angle_alpha 90.00
_cell_angle_beta 90.00
_cell_angle_gamma 90.00
_space_group_name_H-M_alt 'P 1'
_space_group_IT_number 1
_space_group_name_Hall 'P 1'
loop_
_atom_site_label
_atom_site_fract_x
_atom_site_fract_y
_atom_site_fract_z
_atom_site_occupancy
I1 0.000 0.500 0.000 1
I2 0.000 0.000 0.500 1
I3 0.500 0.000 0.000 1
Sn1 0.500 0.500 0.500 1
Fe1 0.000 0.000 0.000 1
# E_form (uncorrected) ... 0.1916 eV/atom
# Total energy ... -0.238 Ry/atom
# Total magnetic moment ... 2.73 μB per formula unit

---

[2]
# PrCdNi2H8 PBE-GGA optimized geometry
data_PrCdNi2H8
_chemical_formula_sum 'Pr1 Cd1 Ni2 H8'
_cell_length_a 4.427
_cell_length_b 4.427
_cell_length_c 6.671
_cell_angle_alpha 90.00
_cell_angle_beta 90.00
_cell_angle_gamma 120.00
_space_group_name_H-M_alt 'P 1'
_space_group_IT_number 1
_space_group_name_Hall 'P 1'
loop_
_atom_site_label
_atom_site_fract_x
_atom_site_fract_y
_atom_site_fract_z
_atom_site_occupancy
Pr1 0.000 0.000 0.000 1
Cd1 0.000 0.000 0.500 1
Ni1 0.667 0.333 0.278 1
Ni2 0.333 0.667 0.722 1
H1 0.333 0.667 0.955 1
H2 0.326 0.360 0.288 1
H3 0.640 0.967 0.288 1
H4 0.667 0.333 0.045 1
H5 0.360 0.033 0.712 1
H6 0.674 0.640 0.712 1
H7 0.967 0.326 0.712 1
H8 0.033 0.674 0.288 1
# Total energy ... -0.270 Ry/atom
# Total magnetic moment ... 0.00 μB per formula unit

---

[3]
# Ag3Sn4S8 PBE-GGA optimized geometry
data_Ag3Sn4S8
_chemical_formula_sum 'Ag3 Sn4 S8'
_cell_length_a 7.708
_cell_length_b 7.776
_cell_length_c 7.776
_cell_angle_alpha 90.28
_cell_angle_beta 119.65
_cell_angle_gamma 119.65
_space_group_name_H-M_alt 'P 1'
_space_group_IT_number 1
_space_group_name_Hall 'P 1'
loop_
_atom_site_label
_atom_site_fract_x
_atom_site_fract_y
_atom_site_fract_z
_atom_site_occupancy
Ag1 0.500 0.500 0.000 1
Ag2 0.500 0.000 0.500 1
Ag3 0.500 0.500 0.500 1
Sn1 0.500 0.000 0.000 1
Sn2 0.000 0.500 0.000 1
Sn3 0.000 0.000 0.000 1
Sn4 0.000 0.000 0.500 1
S1 0.466 0.232 0.232 1
S2 0.000 0.763 0.237 1
S3 0.003 0.245 0.245 1
S4 0.500 0.752 0.248 1
S5 0.500 0.248 0.752 1
S6 0.997 0.755 0.755 1
S7 0.000 0.237 0.763 1
S8 0.534 0.768 0.768 1
# E_form (uncorrected) ... -0.2556 eV/atom
# Total energy ... -0.301 Ry/atom
# Total magnetic moment ... 0.00 μB per formula unit

---

[4]
# PmPuSc3 PBE-GGA optimized geometry
data_PmPuSc3
_chemical_formula_sum 'Pm2 Pu2 Sc6'
_cell_length_a 5.757
_cell_length_b 7.453
_cell_length_c 7.453
_cell_angle_alpha 120.00
_cell_angle_beta 90.00
_cell_angle_gamma 90.00
_space_group_name_H-M_alt 'P 1'
_space_group_IT_number 1
_space_group_name_Hall 'P 1'
loop_
_atom_site_label
_atom_site_fract_x
_atom_site_fract_y
_atom_site_fract_z
_atom_site_occupancy
Pm1 0.750 0.667 0.333 1
Pm2 0.250 0.333 0.667 1
Pu1 0.000 0.000 0.000 1
Pu2 0.500 0.000 0.000 1
Sc1 0.750 0.607 0.804 1
Sc2 0.250 0.804 0.607 1
Sc3 0.250 0.393 0.196 1
Sc4 0.750 0.196 0.393 1
Sc5 0.250 0.804 0.196 1
Sc6 0.750 0.196 0.804 1
# Total energy ... -0.536 Ry/atom
# Total magnetic moment ... 6.30 μB per formula unit
# Energy of formation from the pure elements ... 1.6 eV per formula unit

---

[5]
# Ta2PtAu PBE-GGA optimized geometry
data_Ta2PtAu
_chemical_formula_sum 'Ta2 Pt1 Au1'
_cell_length_a 4.608
_cell_length_b 4.608
_cell_length_c 4.608
_cell_angle_alpha 60.00
_cell_angle_beta 60.00
_cell_angle_gamma 60.00
_space_group_name_H-M_alt 'P 1'
_space_group_IT_number 1
_space_group_name_Hall 'P 1'
loop_
_atom_site_label
_atom_site_fract_x
_atom_site_fract_y
_atom_site_fract_z
_atom_site_occupancy
Au1 0.500 0.500 0.500 1
Pt1 0.750 0.750 0.750 1
Ta1 0.000 0.000 0.000 1
Ta2 0.250 0.250 0.250 1
# Total energy ... -0.608 Ry/atom
# Total magnetic moment ... 0.00 μB per formula unit
# Energy of formation from the pure elements ... 0.0 eV per formula unit

---

[6]
# BSe2S PBE-GGA optimized geometry
data_BSe2S
_chemical_formula_sum 'B1 Se2 S1'
_cell_length_a 6.666
_cell_length_b 6.666
_cell_length_c 6.666
_cell_angle_alpha 40.18
_cell_angle_beta 40.18
_cell_angle_gamma 40.18
_space_group_name_H-M_alt 'P 1'
_space_group_IT_number 1
_space_group_name_Hall 'P 1'
loop_
_atom_site_label
_atom_site_fract_x
_atom_site_fract_y
_atom_site_fract_z
_atom_site_occupancy
S1 0.500 0.500 0.500 1
B1 0.000 0.000 0.000 1
Se1 0.901 0.901 0.901 1
Se2 0.099 0.099 0.099 1
# E_form (uncorrected) ... 0.6777 eV/atom
# ΔE to the lowest computed polymorph ... 169 meV/atom
# Total energy ... -0.277 Ry/atom
# Total magnetic moment ... 0.00 μB per formula unit

---

[7]
# NaGaI2O PBE-GGA optimized geometry
data_NaGaI2O
_chemical_formula_sum 'Na1 Ga1 I2 O1'
_cell_length_a 5.920
_cell_length_b 5.920
_cell_length_c 3.691
_cell_angle_alpha 90.00
_cell_angle_beta 90.00
_cell_angle_gamma 90.00
_space_group_name_H-M_alt 'P 1'
_space_group_IT_number 1
_space_group_name_Hall 'P 1'
loop_
_atom_site_label
_atom_site_fract_x
_atom_site_fract_y
_atom_site_fract_z
_atom_site_occupancy
I1 0.000 0.500 0.000 1
I2 0.500 0.000 0.000 1
Na1 0.500 0.500 0.500 1
O1 0.000 0.000 0.500 1
Ga1 0.000 0.000 0.000 1
# E_form (uncorrected) ... -0.8416 eV/atom
# ΔE to the lowest computed polymorph ... 0 meV/atom
# Total energy ... -0.244 Ry/atom
# Total magnetic moment ... 0.00 μB per formula unit

---

[8]
# InCuIO2 PBE-GGA optimized geometry
data_InCuIO2
_chemical_formula_sum 'In1 Cu1 I1 O2'
_cell_length_a 4.054
_cell_length_b 4.054
_cell_length_c 6.486
_cell_angle_alpha 90.00
_cell_angle_beta 90.00
_cell_angle_gamma 90.00
_space_group_name_H-M_alt 'P 1'
_space_group_IT_number 1
_space_group_name_Hall 'P 1'
loop_
_atom_site_label
_atom_site_fract_x
_atom_site_fract_y
_atom_site_fract_z
_atom_site_occupancy
I1 0.000 0.000 0.500 1
O1 0.000 0.500 0.000 1
O2 0.500 0.000 0.000 1
Cu1 0.500 0.500 0.500 1
In1 0.000 0.000 0.000 1
# E_form (uncorrected) ... -0.1467 eV/atom
# ΔE to the lowest computed polymorph ... 0 meV/atom
# Total energy ... -0.280 Ry/atom
# Total magnetic moment ... 0.15 μB per formula unit